Record 1
Here is a relaxed OsPdW crystal from the Open Quantum Materials Database. Energies are from PBE.

```
3
Lattice="0.0000 2.9938 2.9938 2.9938 0.0000 2.9938 2.9938 2.9938 0.0000" Properties=species:S:1:pos:R:3 pbc="T T T"
Os 0.0000 0.0000 0.0000
Pd 2.9938 2.9938 2.9938
W 1.4969 1.4969 1.4969
```

Properties
ΔH_f (0 K): 516 meV per atom
Total DFT energy (no corrections): -9.271 eV/atom
Excess energy over the best structure of this formula in the dataset: 0 meV/atom
Total moment: 0.000 μB per atom
Theoretical density: 14.9 g/cm3


Record 2
Here is a relaxed Ba2TbNb2 crystal from the Open Quantum Materials Database. Energies are from PBE.

```
5
Lattice="-2.3964 2.3964 7.4779 2.3964 -2.3964 7.4779 2.3964 2.3964 -7.4779" Properties=species:S:1:pos:R:3 pbc="T T T"
Ba 2.3964 0.0000 3.7390
Ba 0.0000 2.3964 3.7390
Tb 0.0000 0.0000 0.0000
Nb 0.0000 0.0000 6.3807
Nb 0.0000 0.0000 8.5752
```

Properties
Total DFT energy (no corrections): -4.792 eV/atom
Total moment: 0.007 μB per atom
Theoretical density: 6.0 g/cm3


Record 3
Here is a relaxed Li3Hf2O6 crystal from the Open Quantum Materials Database. Energies are from PBE.

```
11
Lattice="2.7258 -4.6177 0.0000 2.7258 4.6177 0.0000 -1.9468 0.0000 4.7707" Properties=species:S:1:pos:R:3 pbc="T T T"
Li 0.0000 0.0000 0.0000
Li 1.7524 -0.0067 2.3854
Li 1.7524 -3.2960 2.3854
Hf 2.7258 1.6557 0.0000
Hf 2.7258 -1.4640 0.0000
O 0.8980 1.5642 1.0470
O 0.0711 0.0944 3.6105
O 0.9943 -1.5496 1.0927
O 2.6067 1.5642 3.7237
O 3.4336 0.0944 1.1602
O 2.5105 -1.5496 3.6780
```

Properties
Total DFT energy (no corrections): -7.646 eV/atom
Excess energy over the best structure of this formula in the dataset: 24 meV/atom
Total moment: 0.092 μB per atom
Theoretical density: 6.6 g/cm3


Record 4
Here is a relaxed Ho2SiO5 crystal from the Open Quantum Materials Database. Energies are from PBE.

```
32
Lattice="8.9968 0.0000 0.0000 0.0000 6.8017 0.0000 -1.7906 0.0000 6.3944" Properties=species:S:1:pos:R:3 pbc="T T T"
Ho -0.1585 0.8527 1.4829
Ho -1.0538 2.5482 4.6801
Ho 3.2638 0.9460 0.3636
Ho 2.3685 2.4548 3.5608
Ho 4.8377 4.3469 2.8337
Ho 3.9424 5.8557 6.0309
Ho 8.2600 4.2535 1.7144
Ho 7.3646 5.9490 4.9116
Si 2.6404 4.0187 0.1690
Si 1.7450 6.1838 3.3662
Si 5.4611 0.6179 3.0282
Si 4.5658 2.7830 6.2254
O -0.7634 4.3321 6.3454
O 0.1319 5.8704 3.1482
O -0.6491 0.7976 5.9989
O 0.2462 2.6032 2.8017
O 2.0177 0.4847 2.1522
O 1.1224 2.9162 5.3495
O 2.0774 0.3504 4.6362
O 2.9727 3.0504 1.4390
O 2.6223 4.8473 3.3119
O 3.5176 5.3552 0.1147
O 3.6886 1.4464 6.2798
O 4.5839 1.9544 3.0826
O 4.2334 3.7513 4.9555
O 5.1287 6.4513 1.7583
O 6.0838 3.8855 1.0450
O 5.1885 6.3170 4.2422
O 6.9599 4.1985 3.5928
O 7.8553 6.0040 0.3955
O 7.0743 0.9313 3.2463
O 7.9696 2.4695 0.0490
```

Properties
Total DFT energy (no corrections): -8.281 eV/atom
Excess energy over the best structure of this formula in the dataset: 25 meV/atom
Total moment: 0.000 μB per atom
Theoretical density: 7.4 g/cm3


Record 5
Here is a relaxed KDyB4 crystal from the Open Quantum Materials Database. Energies are from PBE.

```
6
Lattice="3.2135 0.0000 0.0000 -1.6067 2.7829 0.0000 0.0000 0.0000 8.8244" Properties=species:S:1:pos:R:3 pbc="T T T"
K 0.0000 0.0000 0.0000
Dy 0.0000 0.0000 4.4122
B 0.0000 1.8553 2.4931
B 0.0000 1.8553 6.3313
B 1.6067 0.9276 2.4931
B 1.6067 0.9276 6.3313
```

Properties
Total DFT energy (no corrections): -5.381 eV/atom
Excess energy over the best structure of this formula in the dataset: 0 meV/atom
Total moment: 0.003 μB per atom
Theoretical density: 5.2 g/cm3


Record 6
Here is a relaxed Ta2Co3W4N3 crystal from the Open Quantum Materials Database. Energies are from PBE.

```
24
Lattice="4.3347 -2.5301 0.0000 4.3347 2.5301 0.0000 -2.8510 0.0000 13.2503" Properties=species:S:1:pos:R:3 pbc="T T T"
Ta 2.2090 2.1367 8.3486
Ta 2.1839 2.1367 11.5269
Ta 3.6345 -2.1367 1.7234
Ta 3.6094 -2.1367 4.9018
Co 0.2664 0.9798 9.9124
Co 3.6220 0.7085 3.3126
Co 1.6919 -0.9798 3.2872
Co 4.1266 0.9798 9.9631
Co 2.1965 -0.7085 9.9378
Co 5.5521 -0.9798 3.3379
W 2.2104 0.4145 1.2486
W 2.1777 0.3618 5.3814
W 0.7849 -0.4145 7.8738
W 0.7522 -0.3618 12.0065
W 5.0662 0.3618 1.2438
W 5.0335 0.4145 5.3765
W 3.6407 -0.3618 7.8690
W 3.6080 -0.4145 12.0017
N 0.7419 1.2651 6.6252
N 3.6967 1.4237 0.0000
N 3.5472 1.4237 6.6252
N 2.1674 -1.2651 0.0000
N 2.2712 -1.4237 6.6252
N 4.9727 -1.4237 0.0000
```

Properties
Total DFT energy (no corrections): -10.343 eV/atom
Total moment: 0.000 μB per atom
Theoretical density: 15.0 g/cm3


Record 7
Here is a relaxed InGeMo crystal from the Open Quantum Materials Database. Energies are from PBE.

```
3
Lattice="0.0000 3.1034 3.1034 3.1034 0.0000 3.1034 3.1034 3.1034 0.0000" Properties=species:S:1:pos:R:3 pbc="T T T"
In 0.0000 0.0000 0.0000
Ge 1.5517 1.5517 1.5517
Mo 3.1034 3.1034 3.1034
```

Properties
Total DFT energy (no corrections): -5.388 eV/atom
Total moment: 0.095 μB per atom
Theoretical density: 7.9 g/cm3


Record 8
Here is a relaxed Hf3ScN4 crystal from the Open Quantum Materials Database. Energies are from PBE.

```
8
Lattice="4.5109 0.0000 0.0000 0.0000 4.5109 0.0000 0.0000 0.0000 4.5109" Properties=species:S:1:pos:R:3 pbc="T T T"
Hf 0.0000 0.0000 2.2555
Hf 0.0000 2.2555 0.0000
Hf 2.2555 0.0000 0.0000
Sc 2.2555 2.2555 2.2555
N 0.0000 0.0000 0.0000
N 0.0000 2.2555 2.2555
N 2.2555 0.0000 2.2555
N 2.2555 2.2555 0.0000
```

Properties
Total DFT energy (no corrections): -10.532 eV/atom
Total moment: 0.000 μB per atom
Theoretical density: 11.5 g/cm3


Record 9
Here is a relaxed NdSm2In3Ni3 crystal from the Open Quantum Materials Database. Energies are from PBE.

```
9
Lattice="3.9438 0.0000 0.0000 0.0000 6.4995 3.7631 0.0000 -6.4995 3.7631" Properties=species:S:1:pos:R:3 pbc="T T T"
Nd 0.0000 0.0000 0.0000
Sm 0.0000 -2.6821 2.8618
Sm 0.0000 2.6821 2.8618
In 1.9719 0.0000 2.5549
In 1.9719 -1.6295 5.3420
In 1.9719 1.6295 5.3420
Ni 0.0000 0.0000 4.4099
Ni 1.9719 -4.3211 4.4173
Ni 1.9719 4.3211 4.4173
```

Properties
Total DFT energy (no corrections): -4.824 eV/atom
Total moment: 0.005 μB per atom
Theoretical density: 8.3 g/cm3


Record 10
Here is a relaxed NbFeTcB crystal from the Open Quantum Materials Database. Energies are from PBE.

```
4
Lattice="0.0000 2.9266 2.9266 2.9266 0.0000 2.9266 2.9266 2.9266 0.0000" Properties=species:S:1:pos:R:3 pbc="T T T"
Nb 0.0000 0.0000 0.0000
Fe 4.3899 4.3899 4.3899
Tc 1.4633 1.4633 1.4633
B 2.9266 2.9266 2.9266
```

Properties
Total DFT energy (no corrections): -8.608 eV/atom
Excess energy over the best structure of this formula in the dataset: 0 meV/atom
Total moment: 0.219 μB per atom
Theoretical density: 8.5 g/cm3


Record 11
Here is a relaxed LuHgPb2 crystal from the Open Quantum Materials Database. Energies are from PBE.

```
4
Lattice="0.0000 3.8083 3.8083 3.8083 0.0000 3.8083 3.8083 3.8083 0.0000" Properties=species:S:1:pos:R:3 pbc="T T T"
Lu 0.0000 0.0000 0.0000
Hg 5.7124 5.7124 5.7124
Pb 1.9041 1.9041 1.9041
Pb 3.8083 3.8083 3.8083
```

Properties
Total DFT energy (no corrections): -3.164 eV/atom
Total moment: 0.003 μB per atom
Theoretical density: 11.9 g/cm3


Record 12
Here is a relaxed NbCoAgGe crystal from the Open Quantum Materials Database. Energies are from PBE.

```
4
Lattice="0.0000 3.1345 3.1345 3.1345 0.0000 3.1345 3.1345 3.1345 0.0000" Properties=species:S:1:pos:R:3 pbc="T T T"
Nb 0.0000 0.0000 0.0000
Co 3.1345 3.1345 3.1345
Ag 4.7017 4.7017 4.7017
Ge 1.5672 1.5672 1.5672
```

Properties
Total DFT energy (no corrections): -5.945 eV/atom
Excess energy over the best structure of this formula in the dataset: 0 meV/atom
Total moment: 0.319 μB per atom
Theoretical density: 9.0 g/cm3


Record 13
Here is a relaxed YMgCdIn crystal from the Open Quantum Materials Database. Energies are from PBE.

```
4
Lattice="0.0000 3.6315 3.6315 3.6315 0.0000 3.6315 3.6315 3.6315 0.0000" Properties=species:S:1:pos:R:3 pbc="T T T"
Y 0.0000 0.0000 0.0000
Mg 3.6315 3.6315 3.6315
Cd 1.8157 1.8157 1.8157
In 5.4472 5.4472 5.4472
```

Properties
Total DFT energy (no corrections): -3.237 eV/atom
Excess energy over the best structure of this formula in the dataset: 0 meV/atom
Total moment: 0.000 μB per atom
Theoretical density: 5.9 g/cm3


Record 14
Here is a relaxed HoInAg crystal from the Open Quantum Materials Database. Energies are from PBE.

```
3
Lattice="0.0000 3.3734 3.3734 3.3734 0.0000 3.3734 3.3734 3.3734 0.0000" Properties=species:S:1:pos:R:3 pbc="T T T"
Ho 0.0000 0.0000 0.0000
In 3.3734 3.3734 3.3734
Ag 1.6867 1.6867 1.6867
```

Properties
Total DFT energy (no corrections): -3.664 eV/atom
Total moment: 0.001 μB per atom
Theoretical density: 8.4 g/cm3


Record 15
Here is a relaxed Dy4CoI5 crystal from the Open Quantum Materials Database. Energies are from PBE.

```
10
Lattice="9.7264 -2.0229 0.0000 9.7264 2.0229 0.0000 -1.9210 0.0000 8.6229" Properties=species:S:1:pos:R:3 pbc="T T T"
Dy 19.0719 0.0000 1.6881
Dy -1.5401 0.0000 6.9347
Dy 5.2468 0.0000 8.0061
Dy 12.2850 0.0000 0.6167
Co 9.7264 0.0000 0.0000
I 2.5891 0.0000 2.9682
I 1.8327 0.0000 7.1491
I 8.7659 0.0000 4.3114
I 15.6990 0.0000 1.4738
I 14.9426 0.0000 5.6546
```

Properties
Total DFT energy (no corrections): -4.356 eV/atom
Total moment: 0.001 μB per atom
Theoretical density: 6.6 g/cm3


Record 16
Here is a relaxed TmInCuTe3 crystal from the Open Quantum Materials Database. Energies are from PBE.

```
24
Lattice="11.1737 0.0000 0.0000 0.0000 4.1302 0.0000 0.0000 0.0000 14.9016" Properties=species:S:1:pos:R:3 pbc="T T T"
Tm 0.2040 1.0326 3.6102
Tm 5.3828 3.0977 11.0610
Tm 5.7909 1.0326 3.8406
Tm 10.9697 3.0977 11.2914
In 2.4382 3.0977 7.5046
In 3.1487 1.0326 0.0538
In 8.0251 3.0977 14.8478
In 8.7355 1.0326 7.3970
Cu 2.6681 1.0326 10.7516
Cu 2.9188 3.0977 3.3008
Cu 8.2549 1.0326 11.6008
Cu 8.5057 3.0977 4.1500
Te 0.5220 1.0326 9.1791
Te 0.9673 3.0977 1.5607
Te 2.6363 3.0977 12.3911
Te 2.9505 1.0326 4.9403
Te 4.6195 1.0326 9.0115
Te 5.0648 3.0977 1.7283
Te 6.1089 1.0326 13.1733
Te 6.5542 3.0977 5.8901
Te 8.2232 3.0977 9.9613
Te 8.5374 1.0326 2.5105
Te 10.2064 1.0326 13.3409
Te 10.6517 3.0977 5.7225
```

Properties
Total DFT energy (no corrections): -4.036 eV/atom
Total moment: 0.000 μB per atom
Theoretical density: 7.1 g/cm3


Record 17
Here is a relaxed MgBeCu4As2 crystal from the Open Quantum Materials Database. Energies are from PBE.

```
8
Lattice="3.9195 0.0000 0.0000 0.0000 3.9195 0.0000 0.0000 0.0000 7.0197" Properties=species:S:1:pos:R:3 pbc="T T T"
Mg 0.0000 0.0000 0.0000
Be 1.9598 1.9598 3.5099
Cu 0.0000 1.9598 1.9380
Cu 0.0000 1.9598 5.0818
Cu 1.9598 0.0000 1.9380
Cu 1.9598 0.0000 5.0818
As 0.0000 0.0000 3.5099
As 1.9598 1.9598 0.0000
```

Properties
Total DFT energy (no corrections): -3.608 eV/atom
Theoretical density: 6.7 g/cm3


Record 18
Here is a relaxed YHoBi crystal from the Open Quantum Materials Database. Energies are from PBE.

```
3
Lattice="0.0000 3.6458 3.6458 3.6458 0.0000 3.6458 3.6458 3.6458 0.0000" Properties=species:S:1:pos:R:3 pbc="T T T"
Y 0.0000 0.0000 0.0000
Ho 3.6458 3.6458 3.6458
Bi 5.4688 5.4688 5.4688
```

Properties
Total DFT energy (no corrections): -5.330 eV/atom
Total moment: 0.082 μB per atom
Theoretical density: 7.9 g/cm3


Record 19
Here is a relaxed PmAsN2O crystal from the Open Quantum Materials Database. Energies are from PBE.

```
20
Lattice="7.3790 0.0000 0.0000 0.0000 5.8406 0.0000 0.0000 0.0000 5.6734" Properties=species:S:1:pos:R:3 pbc="T T T"
Pm 0.0000 1.0903 0.0000
Pm 0.0000 4.7503 2.8367
Pm 3.6895 1.1502 5.1947
Pm 3.6895 4.6904 2.3580
As 1.8274 1.9385 2.5435
As 1.8274 3.9021 5.3802
As 5.5516 1.9385 2.5435
As 5.5516 3.9021 5.3802
N 0.0000 1.1906 2.4543
N 0.0000 4.6500 5.2910
N 1.5466 2.3853 4.4036
N 1.5466 3.4553 1.5670
N 3.6895 2.0928 3.0275
N 3.6895 3.7478 0.1908
N 5.8324 2.3853 4.4036
N 5.8324 3.4553 1.5670
O 2.1549 0.5545 1.2941
O 2.1549 5.2861 4.1308
O 5.2241 0.5545 1.2941
O 5.2241 5.2861 4.1308
```

Properties
Total DFT energy (no corrections): -7.055 eV/atom
Total moment: 0.000 μB per atom
Theoretical density: 7.2 g/cm3


Record 20
Here is a relaxed RbLuMgTe3 crystal from the Open Quantum Materials Database. Energies are from PBE.

```
24
Lattice="11.7100 0.0000 0.0000 0.0000 4.4690 0.0000 0.0000 0.0000 16.5582" Properties=species:S:1:pos:R:3 pbc="T T T"
Rb 2.8731 1.1173 0.0158
Rb 2.9819 3.3518 8.2949
Rb 8.7281 1.1173 8.2633
Rb 8.8369 3.3518 16.5424
Lu 0.0934 3.3518 4.1427
Lu 5.7616 1.1173 12.4218
Lu 5.9484 3.3518 4.1364
Lu 11.6166 1.1173 12.4155
Mg 2.8421 3.3518 13.0031
Mg 3.0129 1.1173 4.7240
Mg 8.6971 3.3518 11.8342
Mg 8.8679 1.1173 3.5551
Te 0.4939 3.3518 14.4513
Te 0.6650 1.1173 6.1771
Te 2.8351 1.1173 11.3098
Te 3.0199 3.3518 3.0307
Te 5.1900 3.3518 14.4562
Te 5.3611 1.1173 6.1723
Te 6.3489 3.3518 10.3859
Te 6.5200 1.1173 2.1020
Te 8.6901 1.1173 13.5275
Te 8.8749 3.3518 5.2484
Te 11.0450 3.3518 10.3811
Te 11.2161 1.1173 2.1068
```

Properties
Total DFT energy (no corrections): -3.926 eV/atom
Excess energy over the best structure of this formula in the dataset: 0 meV/atom
Total moment: 0.000 μB per atom
Theoretical density: 5.1 g/cm3


Record 21
Here is a relaxed SrB2Pd crystal from the Open Quantum Materials Database. Energies are from PBE.

```
12
Lattice="2.6301 1.5185 8.5539 -2.6301 1.5185 8.5539 0.0000 -3.0370 8.5539" Properties=species:S:1:pos:R:3 pbc="T T T"
Sr 0.0000 0.0000 0.0000
Sr 0.0000 0.0000 3.3526
Sr 0.0000 0.0000 22.3091
B -0.8315 -0.4801 10.6218
B 0.0000 -0.9602 15.0399
B -0.8315 0.4801 15.0399
B 0.8315 -0.4801 10.6218
B 0.0000 0.9602 10.6218
B 0.8315 0.4801 15.0400
Pd 0.0000 0.0000 6.6169
Pd 0.0000 0.0000 12.8309
Pd 0.0000 0.0000 19.0448
```

Properties
Total DFT energy (no corrections): -5.173 eV/atom
Theoretical density: 5.2 g/cm3


Record 22
Here is a relaxed Tl2CuNiCl6 crystal from the Open Quantum Materials Database. Energies are from PBE.

```
10
Lattice="0.0000 4.7992 4.7992 4.7992 0.0000 4.7992 4.7992 4.7992 0.0000" Properties=species:S:1:pos:R:3 pbc="T T T"
Tl 2.3996 2.3996 2.3996
Tl 7.1988 7.1988 7.1988
Cu 0.0000 0.0000 0.0000
Ni 4.7992 4.7992 4.7992
Cl 4.7992 4.7992 2.4419
Cl 4.7992 2.4419 4.7992
Cl 7.1565 4.7992 4.7992
Cl 2.4419 4.7992 4.7992
Cl 4.7992 7.1565 4.7992
Cl 4.7992 4.7992 7.1565
```

Properties
Total DFT energy (no corrections): -3.214 eV/atom
Total moment: 0.091 μB per atom
Theoretical density: 5.6 g/cm3